## Dy2S3 (meta-GGA SCAN)

Data for a PBEsol-optimized structure of Dy2S3.

a = 7.1813 Å, b = 3.8377 Å, c = 14.9524 Å
α = 90.00°, β = 90.00°, γ = 90.00°
Sites, in units of the cell vectors:
Dy (0.1405, 0.2500, 0.2044)
Dy (0.2336, 0.7500, 0.4573)
Dy (0.2664, 0.2500, 0.9573)
Dy (0.3595, 0.7500, 0.7044)
Dy (0.6405, 0.2500, 0.2956)
Dy (0.7336, 0.7500, 0.0427)
Dy (0.7664, 0.2500, 0.5427)
Dy (0.8595, 0.7500, 0.7956)
S (0.0069, 0.2500, 0.3911)
S (0.1235, 0.7500, 0.0674)
S (0.1490, 0.2500, 0.7817)
S (0.3510, 0.7500, 0.2817)
S (0.3765, 0.2500, 0.5674)
S (0.4931, 0.7500, 0.8911)
S (0.5069, 0.2500, 0.1089)
S (0.6235, 0.7500, 0.4326)
S (0.6490, 0.2500, 0.7183)
S (0.8510, 0.7500, 0.2183)
S (0.8765, 0.2500, 0.9326)
S (0.9931, 0.7500, 0.6089)

Properties
Raw formation energy: -2.35 eV/atom
SG: Pnma (62)

***

## BaMgTe2 (meta-GGA SCAN)

Data for a PBEsol-optimized structure of BaMgTe2.

a = 7.1585 Å, b = 7.1585 Å, c = 5.0061 Å
α = 90.76°, β = 90.76°, γ = 36.23°
Sites, in units of the cell vectors:
Ba (0.0000, 0.0000, 0.0000)
Mg (0.2690, 0.2690, 0.3139)
Te (0.4541, 0.4541, 0.5026)
Te (0.7129, 0.7129, 0.0151)

Properties
Raw formation energy: -1.31 eV/atom
SG: Cm (8)

***

## Pm2AgAu (meta-GGA SCAN)

Data for a PBEsol-optimized structure of Pm2AgAu.

a = 5.1416 Å, b = 5.1416 Å, c = 5.1416 Å
α = 60.00°, β = 60.00°, γ = 60.00°
Sites, in units of the cell vectors:
Pm (0.2500, 0.2500, 0.2500)
Pm (0.7500, 0.7500, 0.7500)
Ag (0.0000, 0.0000, 0.0000)
Au (0.5000, 0.5000, 0.5000)

Properties
ΔH_f (0 K): -0.687 eV/atom
SG: Fm-3m (225)

***

## MgZrRhAu2 (meta-GGA SCAN)

Data for a PBEsol-optimized structure of MgZrRhAu2.

a = 4.6280 Å, b = 4.6280 Å, c = 4.5338 Å
α = 90.00°, β = 90.00°, γ = 90.00°
Sites, in units of the cell vectors:
Mg (0.0000, 0.0000, 0.0000)
Zr (0.5000, 0.5000, 0.5000)
Rh (0.0000, 0.0000, 0.5000)
Au (0.0000, 0.5000, 0.0000)
Au (0.5000, 0.0000, 0.0000)

Properties
ΔH_f (0 K): 0.331 eV/atom
SG: P4/mmm (123)

***

What is the formula in the third record?
Pm2AgAu

***

Please write out number 4 again, unchanged.
## MgZrRhAu2 (meta-GGA SCAN)

Data for a PBEsol-optimized structure of MgZrRhAu2.

a = 4.6280 Å, b = 4.6280 Å, c = 4.5338 Å
α = 90.00°, β = 90.00°, γ = 90.00°
Sites, in units of the cell vectors:
Mg (0.0000, 0.0000, 0.0000)
Zr (0.5000, 0.5000, 0.5000)
Rh (0.0000, 0.0000, 0.5000)
Au (0.0000, 0.5000, 0.0000)
Au (0.5000, 0.0000, 0.0000)

Properties
ΔH_f (0 K): 0.331 eV/atom
SG: P4/mmm (123)